Compound: AlAsP2
Source: Alexandria via LeMat-Bulk
Functional: PBE
Structure: optimized geometry

ΔH_f (0 K)   -10 meV/atom
Space-group type   P4mm (99)
Final energy   -4.813 eV/atom
Distance to the lowest polymorph of the same formula   71.1 meV per atom
Total magnetization   0.00 μB/f.u.

Structure (POSCAR):
```
AlAsP2
1.0
3.583 0.000 0.000
0.000 3.583 0.000
0.000 0.000 5.521
P As Al
2 1 1
Direct
0.000 0.000 0.107
0.500 0.500 0.153
0.500 0.500 0.574
0.000 0.000 0.667
```

***

Compound: Zr2BeSb
Source: Alexandria via LeMat-Bulk
Functional: PBE
Structure: optimized geometry

Formation energy from raw total energies   -0.7 eV per formula unit
Space-group type   Pmmm (47)
Final energy   -6.416 eV/atom
Distance to the lowest polymorph of the same formula   336.6 meV per atom
Total magnetization   0.00 μB/f.u.

Structure (POSCAR):
```
Zr2BeSb
1.0
3.231 0.000 0.000
0.000 3.968 0.000
0.000 0.000 6.080
Sb Zr Be
1 2 1
Direct
0.500 0.500 0.750
0.000 0.000 0.017
0.000 0.000 0.483
0.500 0.500 0.250
```

***

Compound: MnPHCS
Source: Alexandria via LeMat-Bulk
Functional: PBE
Structure: optimized geometry

Space-group type   P1 (1)
Final energy   -6.042 eV/atom
Distance to the lowest polymorph of the same formula   271.8 meV per atom
Total magnetization   3.01 μB/f.u.

Structure (POSCAR):
```
MnPHCS
1.0
3.602 -0.054 -0.105
-0.168 4.398 -0.188
-0.310 -1.741 4.591
Mn P H C S
1 1 1 1 1
Direct
0.217 0.260 0.766
0.014 0.275 0.218
0.743 0.684 0.075
0.738 0.411 0.982
0.271 0.688 0.593
```

***

Compound: TaPSeN2
Source: Alexandria via LeMat-Bulk
Functional: PBE
Structure: optimized geometry

Formation energy from raw total energies   5.4 eV per formula unit
Space-group type   P4/mmm (123)
Final energy   -6.395 eV/atom
Distance to the lowest polymorph of the same formula   518.6 meV per atom
Total magnetization   0.00 μB/f.u.

Structure (POSCAR):
```
TaPSeN2
1.0
-0.396 3.186 1.794
-3.578 -0.711 0.472
0.955 -2.142 4.013
P N Se Ta
1 2 1 1
Direct
0.000 0.000 0.000
0.000 0.500 0.000
0.500 0.000 0.000
0.000 0.000 0.500
0.500 0.500 0.500
```

***

Compound: Li3NdRh4O12
Source: Alexandria via LeMat-Bulk
Functional: PBE
Structure: optimized geometry

Formation energy from raw total energies   -25.4 eV per formula unit
Space-group type   Im-3 (204)
Final energy   -6.243 eV/atom
Total magnetization   5.87 μB/f.u.

Structure (POSCAR):
```
Li3NdRh4O12
1.0
-0.294 2.949 -5.808
-2.467 -6.016 -0.490
-3.453 3.417 4.350
Li Nd Rh O
3 1 4 12
Direct
0.000 0.500 0.500
0.500 0.500 0.000
0.500 0.000 0.500
0.000 0.000 0.000
0.500 0.000 0.000
0.500 0.500 0.500
0.000 0.500 0.000
0.000 0.000 0.500
0.300 0.825 0.124
0.700 0.175 0.876
0.700 0.825 0.525
0.876 0.700 0.175
0.825 0.124 0.300
0.175 0.475 0.300
0.475 0.300 0.175
0.175 0.876 0.700
0.300 0.175 0.475
0.124 0.300 0.825
0.825 0.525 0.700
0.525 0.700 0.825
```

***

Compound: CaCeIr2
Source: Alexandria via LeMat-Bulk
Functional: PBE
Structure: optimized geometry

ΔH_f (0 K)   -481 meV/atom
Space-group type   Fm-3m (225)
Final energy   -6.895 eV/atom
Distance to the lowest polymorph of the same formula   54.6 meV per atom
Total magnetization   0.00 μB/f.u.

Structure (POSCAR):
```
CaCeIr2
1.0
-3.170 -3.652 0.627
-0.491 -3.420 -3.440
1.623 -4.526 0.812
Ca Ir Ce
1 2 1
Direct
0.500 0.500 0.500
0.250 0.250 0.250
0.750 0.750 0.750
0.000 0.000 0.000
```

***

Compound: Pr4Y4Mg
Source: Alexandria via LeMat-Bulk
Functional: PBE
Structure: optimized geometry

ΔH_f (0 K)   15 meV/atom
Space-group type   P-1 (2)
Final energy   -5.160 eV/atom
Total magnetization   0.00 μB/f.u.

Structure (POSCAR):
```
Pr4Y4Mg
1.0
-1.546 -9.405 0.068
5.541 -3.665 2.780
-0.902 9.200 9.175
Pr Y Mg
8 8 2
Direct
0.058 0.696 0.388
0.270 0.978 0.942
0.830 0.913 0.831
0.053 0.194 0.386
0.947 0.806 0.614
0.170 0.087 0.169
0.730 0.022 0.058
0.942 0.304 0.612
0.385 0.861 0.719
0.168 0.579 0.167
0.502 0.251 0.506
0.282 0.471 0.949
0.498 0.749 0.494
0.718 0.529 0.051
0.615 0.139 0.281
0.832 0.421 0.833
0.392 0.364 0.726
0.608 0.636 0.274
```

***

Compound: NaLiPuBr6
Source: Alexandria via LeMat-Bulk
Functional: PBE
Structure: optimized geometry

Formation energy from raw total energies   -12.6 eV per formula unit
Space-group type   P-31c (163)
Final energy   -4.469 eV/atom
Total magnetization   4.00 μB/f.u.

Structure (POSCAR):
```
NaLiPuBr6
1.0
7.053 0.000 0.000
-3.527 6.108 0.000
0.000 0.000 13.386
Na Li Pu Br
2 2 2 12
Direct
0.000 0.000 0.000
0.000 0.000 0.500
0.333 0.667 0.250
0.667 0.333 0.750
0.667 0.333 0.250
0.333 0.667 0.750
0.647 0.646 0.132
0.999 0.353 0.132
0.353 0.999 0.632
0.001 0.647 0.868
0.354 0.353 0.368
0.999 0.646 0.368
0.646 0.999 0.868
0.647 0.001 0.368
0.001 0.354 0.632
0.354 0.001 0.132
0.646 0.647 0.632
0.353 0.354 0.868
```

***

Compound: MnGaSb2Te
Source: Alexandria via LeMat-Bulk
Functional: PBE
Structure: optimized geometry

Formation energy from raw total energies   7.1 eV per formula unit
Space-group type   P4/mmm (123)
Final energy   -3.290 eV/atom
Distance to the lowest polymorph of the same formula   1094.4 meV per atom
Total magnetization   0.50 μB/f.u.

Structure (POSCAR):
```
MnGaSb2Te
1.0
5.683 0.000 0.000
0.000 5.683 0.000
0.000 0.000 5.401
Sb Te Ga Mn
2 1 1 1
Direct
0.000 0.500 0.000
0.500 0.000 0.000
0.000 0.000 0.500
0.000 0.000 0.000
0.500 0.500 0.500
```

***

Compound: Pr2AlGe4Pt3
Source: Alexandria via LeMat-Bulk
Functional: PBE
Structure: optimized geometry

ΔH_f (0 K)   -875 meV/atom
Space-group type   P-4m2 (115)
Final energy   -5.864 eV/atom
Total magnetization   0.00 μB/f.u.

Structure (POSCAR):
```
Pr2AlGe4Pt3
1.0
-1.236 0.700 -4.034
2.437 -3.261 -1.313
-8.247 -6.711 1.361
Pr Al Ge Pt
2 1 4 3
Direct
0.500 0.000 0.247
0.000 0.500 0.753
0.500 0.500 0.500
0.500 0.500 0.000
0.000 0.000 0.000
0.500 0.000 0.641
0.000 0.500 0.359
0.000 0.000 0.500
0.500 0.000 0.872
0.000 0.500 0.128
```

***

Compound: CuRhSe2
Source: Alexandria via LeMat-Bulk
Functional: PBE
Structure: optimized geometry

Formation energy from raw total energies   -0.3 eV per formula unit
Space-group type   P4mm (99)
Final energy   -4.684 eV/atom
Total magnetization   0.00 μB/f.u.

Structure (POSCAR):
```
CuRhSe2
1.0
-1.643 -2.709 -0.972
2.252 -1.906 1.508
-3.643 0.178 5.664
Cu Rh Se
1 1 2
Direct
0.000 0.000 0.503
0.500 0.500 0.739
0.000 0.000 0.897
0.500 0.500 0.360
```

***

Compound: AcMgNiIr
Source: Alexandria via LeMat-Bulk
Functional: PBE
Structure: optimized geometry

ΔH_f (0 K)   -150 meV/atom
Space-group type   F-43m (216)
Final energy   -5.236 eV/atom
Total magnetization   0.00 μB/f.u.

Structure (POSCAR):
```
AcMgNiIr
1.0
-3.133 -3.684 0.694
0.447 -4.110 -2.604
1.506 -4.113 2.166
Ni Ac Ir Mg
1 1 1 1
Direct
0.250 0.250 0.250
0.000 0.000 0.000
0.750 0.750 0.750
0.500 0.500 0.500
```

***

We obtain density of states at the Fermi level values of 0.465; 0.722; 0.239; 0.681; 0.680; 0.964; 1.285; 0.683; 1.638; 0.348; 0.615; 0.513 states/eV per atom for the records listed above, in that order.